This record from Alexandria describes an optimized crystal structure of TlP2PdS. The functional is PBE.

raw formation energy	51.6	kJ per mole of atoms
V	22.65	A^3/atom
E above lowest polymorph	0	meV per atom
spin magnetization	1.4	μB per cell

Unit cell a=4.655 b=4.655 c=5.227 alpha=90.00 beta=90.00 gamma=90.00
Site moments in Bohr magnetons follow the coordinates.
Atoms (fractional coordinates):
S: 0.000 0.000 0.500  0.11
Pd: 0.000 0.000 0.000  0.10
P: 0.000 0.500 0.000  0.24
P: 0.500 0.000 0.000  0.24
Tl: 0.500 0.500 0.500  0.05

This record from Alexandria describes an optimized crystal structure of Tl2PPdS4. The functional is PBE.

raw formation energy	-22.6	kJ per mole of atoms
V	26.62	A^3/atom
spin magnetization	0.0	μB per cell

Unit cell a=6.343 b=6.608 c=12.007 alpha=82.72 beta=74.68 gamma=61.32
Atoms (fractional coordinates):
S: 0.400 0.698 0.401
S: 0.198 0.302 0.401
S: 0.848 0.802 0.901
S: 0.552 0.198 0.099
S: 0.500 0.302 0.599
S: 0.902 0.698 0.599
S: 0.250 0.198 0.901
S: 0.350 0.802 0.099
P: 0.250 0.500 0.500
P: 0.500 0.000 0.000
Tl: 0.814 0.000 0.373
Tl: 0.936 0.500 0.127
Tl: 0.186 0.000 0.627
Tl: 0.564 0.500 0.873
Pd: 0.750 0.500 0.500
Pd: 0.000 0.000 0.000

This record from Alexandria describes an optimized crystal structure of VPPdS2. The functional is PBE.

raw formation energy	23.1	kJ per mole of atoms
V	18.43	A^3/atom
E above lowest polymorph	0	meV per atom
spin magnetization	0.0	μB per cell

Unit cell a=4.475 b=4.475 c=4.603 alpha=90.00 beta=90.00 gamma=90.00
Atoms (fractional coordinates):
S: 0.500 0.000 0.000
S: 0.000 0.500 0.000
V: 0.000 0.000 0.000
P: 0.000 0.000 0.500
Pd: 0.500 0.500 0.500

This record from Alexandria describes an optimized crystal structure of VPPdS2. The functional is PBE.

raw formation energy	85.7	kJ per mole of atoms
V	19.95	A^3/atom
E above lowest polymorph	649	meV per atom
spin magnetization	0.1	μB per cell

Unit cell a=4.707 b=4.707 c=4.503 alpha=90.00 beta=90.00 gamma=90.00
Site moments in Bohr magnetons follow the coordinates.
Atoms (fractional coordinates):
S: 0.000 0.500 0.000  -0.04
S: 0.500 0.000 0.000  -0.04
V: 0.500 0.500 0.500  -0.15
P: 0.000 0.000 0.500  0.15
Pd: 0.000 0.000 0.000  0.03

This record from Alexandria describes an optimized crystal structure of VP2PdS. The functional is PBE.

raw formation energy	95.7	kJ per mole of atoms
V	19.69	A^3/atom
E above lowest polymorph	667	meV per atom
spin magnetization	0.2	μB per cell

Unit cell a=4.574 b=4.574 c=4.705 alpha=90.00 beta=90.00 gamma=90.00
Site moments in Bohr magnetons follow the coordinates.
Atoms (fractional coordinates):
P: 0.000 0.500 0.000  0.02
P: 0.500 0.000 0.000  0.02
S: 0.000 0.000 0.500  -0.08
V: 0.500 0.500 0.500  0.14
Pd: 0.000 0.000 0.000  0.02

This record from Alexandria describes an optimized crystal structure of VP2PdS. The functional is PBE.

raw formation energy	31.3	kJ per mole of atoms
V	18.21	A^3/atom
E above lowest polymorph	0	meV per atom
spin magnetization	0.0	μB per cell

Unit cell a=4.538 b=4.538 c=4.422 alpha=90.00 beta=90.00 gamma=90.00
Atoms (fractional coordinates):
Pd: 0.500 0.500 0.500
S: 0.000 0.000 0.500
P: 0.500 0.000 0.000
P: 0.000 0.500 0.000
V: 0.000 0.000 0.000

This record from Alexandria describes an optimized crystal structure of P2PdWS. The functional is PBE.

raw formation energy	56.9	kJ per mole of atoms
V	20.40	A^3/atom
E above lowest polymorph	0	meV per atom
spin magnetization	0.0	μB per cell

Unit cell a=4.731 b=4.731 c=4.558 alpha=90.00 beta=90.00 gamma=90.00
Atoms (fractional coordinates):
W: 0.000 0.000 0.000
Pd: 0.500 0.500 0.500
P: 0.500 0.000 0.000
P: 0.000 0.500 0.000
S: 0.000 0.000 0.500

This record from Alexandria describes an optimized crystal structure of P2PdWS. The functional is PBE.

raw formation energy	134.3	kJ per mole of atoms
V	18.69	A^3/atom
E above lowest polymorph	802	meV per atom
spin magnetization	0.0	μB per cell

Unit cell a=4.531 b=4.531 c=4.550 alpha=90.00 beta=90.00 gamma=90.00
Atoms (fractional coordinates):
Pd: 0.000 0.000 0.000
P: 0.500 0.000 0.000
P: 0.000 0.500 0.000
W: 0.500 0.500 0.500
S: 0.000 0.000 0.500